(1)
Computed, not measured: a relaxed Ta2Co3 crystal at the PBEsol level of DFT.

The structure in POSCAR format:
```
Ta2Co3
1.0
4.917 0.006 0.000
-2.048 4.470 0.000
-1.434 -2.238 5.890
Co Ta
6 4
Cartesian
0.009 0.014 0.000
0.653 1.863 1.269
-0.014 -0.867 4.620
1.677 -0.372 1.676
2.444 -0.864 4.214
-1.015 2.249 2.945
-0.819 1.391 5.319
1.640 1.393 3.515
3.040 2.074 0.570
-0.853 -0.166 2.375
```

Results
D(E_F): 4.57 states/eV/f.u.
distance to the lowest polymorph of the same formula: 0.0000 eV/atom
formation enthalpy at 0 K: -0.24 eV/atom
size of the total moment: 0.00 μB/f.u.

***

(2)
Computed, not measured: a relaxed InSi2Se crystal at the PBEsol level of DFT.

The structure in POSCAR format:
```
InSi2Se
1.0
-3.708 0.994 0.794
-0.619 -3.785 0.817
1.273 0.846 4.882
Si In Se
2 1 1
Cartesian
-3.155 -2.232 1.209
-1.172 -0.558 0.402
0.327 -1.469 2.850
-1.217 0.920 2.838
```

Results
D(E_F): 1.89 states/eV/f.u.
size of the total moment: 0.00 μB/f.u.

***

(3)
Computed, not measured: a relaxed CrHgI3 crystal at the PBEsol level of DFT.

The structure in POSCAR format:
```
CrHgI3
1.0
5.417 0.000 0.000
0.000 5.417 0.000
0.000 0.000 5.417
Cr I Hg
1 3 1
Cartesian
0.000 0.000 0.000
0.000 0.000 2.708
0.000 2.708 0.000
2.708 0.000 0.000
2.708 2.708 2.708
```

Results
D(E_F): 4.06 states/eV/f.u.
size of the total moment: 3.08 μB/f.u.

***

(4)
Computed, not measured: a relaxed LiGaSn2Br crystal at the PBEsol level of DFT.

The structure in POSCAR format:
```
LiGaSn2Br
1.0
5.444 0.000 0.000
0.000 5.555 0.000
0.000 0.000 5.555
Br Li Sn Ga
1 1 2 1
Cartesian
0.000 0.000 0.000
2.722 2.777 2.777
0.000 0.000 2.777
0.000 2.777 0.000
2.722 0.000 0.000
```

Results
D(E_F): 3.11 states/eV/f.u.
size of the total moment: 0.00 μB/f.u.

***

(5)
Computed, not measured: a relaxed Be2ReP crystal at the PBEsol level of DFT.

The structure in POSCAR format:
```
Be2ReP
1.0
2.669 -0.002 0.000
-1.106 2.429 0.000
0.000 0.000 7.453
P Re Be
1 1 2
Cartesian
0.000 0.000 3.779
0.782 1.214 1.845
0.000 0.000 7.367
0.782 1.214 5.641
```

Results
D(E_F): 2.11 states/eV/f.u.
distance to the lowest polymorph of the same formula: 0.6497 eV/atom
formation enthalpy at 0 K: 0.47 eV/atom
size of the total moment: 0.00 μB/f.u.

***

(6)
Computed, not measured: a relaxed Fe4MoW crystal at the PBEsol level of DFT.

The structure in POSCAR format:
```
Fe4MoW
1.0
-2.743 3.329 1.704
-0.755 0.270 4.568
1.831 3.485 2.451
Fe Mo W
4 1 1
Cartesian
-0.664 4.293 3.167
0.330 2.763 4.599
-1.958 2.685 4.226
-1.042 4.428 5.451
-0.417 1.771 2.180
0.000 0.000 0.000
```

Results
D(E_F): 8.23 states/eV/f.u.
formation enthalpy at 0 K: -0.03 eV/atom
size of the total moment: 3.50 μB/f.u.

***

In the order shown, the computed raw total energy values come out to -99.01; -17.44; -16.07; -13.53; -25.25; -61.63 eV for the cell shown.